Compound: CsVPb2O4
Source: the Alexandria database
Functional: GGA+U
Structure: relaxed

Total DFT energy (no corrections), eV for the cell shown: -185.20

Lattice parameters (Å, degrees): 6.810 8.350 15.908 90.00 90.00 90.00
Space group Fmm2 (No. 42)
Unique sites:
Cs (0.000, 0.000, 0.000) (multiplicity 4)
V (0.000, 0.000, 0.601) (multiplicity 4)
Pb (0.250, 0.250, 0.240) (multiplicity 8)
O (0.000, 0.164, 0.540) (multiplicity 8)
O (0.221, 0.000, 0.668) (multiplicity 8)